Record 1
The following is a DFT calculation (PBE) of crystalline CdInSCl at its relaxed geometry.

Output
The density of states at the Fermi level is 0.000 states/eV per atom. Its crystal system is trigonal. The energy is -3.05 eV per atom.

Geometry as extended XYZ:
```
4
Lattice="-0.6545 -3.1377 -2.2555 1.9502 -3.3339 0.6654 -6.3670 -2.6271 5.5010" Properties=species:S:1:pos:R:3 pbc="T T T"
Cd -2.8421 -2.8486 2.3429
In -0.8554 -2.0295 0.6264
S 0.4325 -3.8334 -0.6432
Cl -3.0105 -7.5899 2.1746
```

***

Record 2
The following is a DFT calculation (PBE) of crystalline CdInSb2Cl at its relaxed geometry.

Output
The density of states at the Fermi level is 0.768 states/eV per atom. Its crystal system is tetragonal. The energy is -2.31 eV per atom.

Geometry as extended XYZ:
```
5
Lattice="5.6198 0.0000 0.0000 0.0000 6.0832 0.0000 0.0000 0.0000 5.6198" Properties=species:S:1:pos:R:3 pbc="T T T"
Sb 0.0000 0.0000 2.8099
Sb 2.8099 0.0000 0.0000
Cd 0.0000 0.0000 0.0000
Cl 2.8099 3.0416 2.8099
In 0.0000 3.0416 0.0000
```

***

Record 3
The following is a DFT calculation (PBE) of crystalline ScCdInCl6 at its relaxed geometry.

Output
The density of states at the Fermi level is 0.000 states/eV per atom. Its crystal system is trigonal. The energy is -3.83 eV per atom.

Geometry as extended XYZ:
```
9
Lattice="-6.4959 -1.7163 -0.8585 -3.9325 -1.1773 5.3881 -1.7898 6.6973 0.1570" Properties=species:S:1:pos:R:3 pbc="T T T"
Sc -4.3710 2.3841 1.5885
Cd -7.8469 1.4195 3.0982
In -8.2855 4.9810 -0.7014
Cl -2.0601 1.4735 1.9964
Cl -3.7092 4.1196 -0.1107
Cl -6.7248 3.2746 1.5464
Cl -3.8145 4.0085 3.4292
Cl -5.3175 0.5779 3.0639
Cl -4.5993 0.8507 -0.3949
```

***

Record 4
The following is a DFT calculation (PBE) of crystalline CdInSeCl at its relaxed geometry.

Output
The density of states at the Fermi level is 0.000 states/eV per atom. Its crystal system is monoclinic. The energy is -2.89 eV per atom.

Geometry as extended XYZ:
```
4
Lattice="-0.8688 3.8097 1.0388 -3.7642 1.4077 -0.4439 -1.9934 -2.6946 8.2579" Properties=species:S:1:pos:R:3 pbc="T T T"
Cd -2.1016 -0.0971 4.2611
In -1.4888 0.7383 1.7112
Se -2.7437 2.8718 0.7056
Cl -5.4919 2.9688 5.9147
```

***

Record 5
The following is a DFT calculation (PBE) of crystalline CdInSnCl5 at its relaxed geometry.

Output
The density of states at the Fermi level is 0.000 states/eV per atom. Its crystal system is monoclinic. The energy is -3.08 eV per atom.

Geometry as extended XYZ:
```
16
Lattice="-0.7271 4.2979 6.4317 -4.7508 -6.0933 0.8174 9.3269 -4.0606 0.8309" Properties=species:S:1:pos:R:3 pbc="T T T"
Cd 0.3200 -0.0350 4.8469
Cd 3.5291 -5.8210 3.2331
In -1.0709 -3.6269 2.9062
In 4.9200 -2.2291 5.1738
Sn 4.6635 -2.0303 0.4155
Sn 0.0000 0.0000 0.0000
Cl -2.0454 -6.1435 1.5465
Cl 5.8945 0.2874 6.5335
Cl -1.1189 1.4243 6.2941
Cl 4.9679 -7.2803 1.7859
Cl 2.6633 0.8417 4.6617
Cl 1.1857 -6.6977 3.4183
Cl 0.6720 -2.3791 5.6627
Cl 3.1770 -3.4769 2.4172
Cl -0.9812 -0.1418 2.7067
Cl 4.8302 -5.7142 5.3733
```

***

Record 6
The following is a DFT calculation (PBE) of crystalline CdInSn2Cl6 at its relaxed geometry.

Output
The density of states at the Fermi level is 0.122 states/eV per atom. Its crystal system is triclinic. The energy is -3.11 eV per atom.

Geometry as extended XYZ:
```
10
Lattice="7.9180 -0.4154 -0.0292 -4.3912 7.6821 1.0752 -3.8785 -1.4071 5.6960" Properties=species:S:1:pos:R:3 pbc="T T T"
Cd -0.1264 0.5284 1.8484
In -4.1502 3.1020 3.6198
Sn 0.4223 5.1279 2.5089
Sn 0.2786 0.2538 4.8248
Cl -3.5392 5.4613 5.6574
Cl 2.2969 1.2998 1.0854
Cl 2.9506 5.2796 1.8859
Cl -1.3819 2.4008 0.3870
Cl 1.0644 3.3880 4.3862
Cl 5.1529 -0.5605 2.9727
```

***

Record 7
The following is a DFT calculation (PBE) of crystalline SrCdInCl5 at its relaxed geometry.

Output
The density of states at the Fermi level is 0.000 states/eV per atom. Its crystal system is monoclinic. The energy is -3.34 eV per atom.

Geometry as extended XYZ:
```
16
Lattice="7.8216 0.0098 -0.0467 -2.2738 7.4838 -0.0467 -2.3635 -3.1925 9.5322" Properties=species:S:1:pos:R:3 pbc="T T T"
Sr -1.1818 -1.5962 4.7661
Sr 0.0000 0.0000 0.0000
Cd 3.9931 1.6086 2.3364
Cd -0.8088 2.6925 7.1024
In 0.5077 4.1890 2.3364
In 2.6766 0.1122 7.1024
Cl -1.8765 5.9540 2.3364
Cl 5.0607 -1.6529 7.1024
Cl 6.1632 2.1080 1.1712
Cl -2.9790 2.1931 8.2676
Cl 4.1490 -0.6128 3.5015
Cl -0.9647 4.9139 5.9373
Cl 3.3435 3.2038 4.1502
Cl -0.1593 1.0973 5.2886
Cl 2.2778 1.7642 0.5225
Cl 0.9065 2.5369 8.9163
```

***

Record 8
The following is a DFT calculation (PBE) of crystalline SrCdIn2Cl6 at its relaxed geometry.

Output
The density of states at the Fermi level is 0.000 states/eV per atom. Its crystal system is tetragonal. The energy is -3.27 eV per atom.

Geometry as extended XYZ:
```
10
Lattice="5.8776 0.0000 0.0000 0.0000 7.5456 0.0000 0.0000 0.0000 7.5456" Properties=species:S:1:pos:R:3 pbc="T T T"
Sr 3.6329 3.7728 3.7728
Cd 3.5122 0.0000 0.0000
In 0.1215 3.7728 0.0000
In 0.1215 0.0000 3.7728
Cl 4.2233 1.7933 1.7933
Cl 4.2233 1.7933 5.7523
Cl 0.8016 3.7728 3.7728
Cl 1.0537 0.0000 0.0000
Cl 4.2233 5.7523 5.7523
Cl 4.2233 5.7523 1.7933
```

***

Record 9
The following is a DFT calculation (PBE) of crystalline TbCdInCl6 at its relaxed geometry.

Output
The density of states at the Fermi level is 0.000 states/eV per atom. Its crystal system is trigonal. The energy is -3.72 eV per atom.

Geometry as extended XYZ:
```
18
Lattice="-4.8680 1.8044 4.6441 -1.5306 -4.5240 -5.0706 3.9191 -10.5055 8.1899" Properties=species:S:1:pos:R:3 pbc="T T T"
Tb -2.7758 -2.9314 3.4533
Tb 0.2963 -10.2937 4.3101
Cd -1.6633 -5.0409 0.2151
Cd -0.8162 -8.1842 7.5483
In 0.0000 0.0000 0.0000
In 1.9596 -5.2527 4.0950
Cl -3.4702 -3.1848 0.8832
Cl -4.8856 -1.3529 3.9104
Cl -0.8291 -10.5820 1.9012
Cl 2.4061 -11.8722 3.8530
Cl -0.9691 -4.7869 2.7861
Cl -4.4204 -4.8149 4.4017
Cl -1.2208 -12.4191 4.8870
Cl -1.6505 -2.6430 5.8622
Cl 1.9409 -8.4102 3.3616
Cl -1.2587 -0.8060 2.8764
Cl -1.5104 -8.4382 4.9773
Cl 0.9907 -10.0403 6.8802
```

***

Record 10
The following is a DFT calculation (PBE) of crystalline CdIn2TeCl at its relaxed geometry.

Output
The density of states at the Fermi level is 0.246 states/eV per atom. Its crystal system is tetragonal. The energy is -2.14 eV per atom.

Geometry as extended XYZ:
```
5
Lattice="5.8111 0.0000 0.0000 0.0000 5.5539 0.0000 0.0000 0.0000 5.8111" Properties=species:S:1:pos:R:3 pbc="T T T"
Cd 2.9056 2.7770 2.9056
Te 0.0000 2.7770 0.0000
Cl 0.0000 0.0000 0.0000
In 0.0000 0.0000 2.9056
In 2.9056 0.0000 0.0000
```

***

Record 11
The following is a DFT calculation (PBE) of crystalline TiCdInCl6 at its relaxed geometry.

Output
The density of states at the Fermi level is 0.695 states/eV per atom. Its crystal system is trigonal. The energy is -3.76 eV per atom.

Geometry as extended XYZ:
```
9
Lattice="6.7345 -0.0001 0.0000 3.3672 5.8323 0.0000 0.0002 -0.0003 6.7972" Properties=species:S:1:pos:R:3 pbc="T T T"
Ti 3.3673 1.9441 3.3985
Cd 6.7342 3.8879 3.3986
In 6.7346 -0.0002 6.7971
Cl 1.3929 2.1125 1.9733
Cl 2.5261 0.1499 4.8238
Cl 5.3413 2.1129 4.8238
Cl 2.2336 3.5699 4.8237
Cl 4.5006 3.5691 1.9733
Cl 4.2085 0.1492 1.9734
```

***

Record 12
The following is a DFT calculation (PBE) of crystalline Tl4Cd3InCl12 at its relaxed geometry.

Output
The density of states at the Fermi level is 0.162 states/eV per atom. Its crystal system is cubic. The energy is -2.86 eV per atom.

Geometry as extended XYZ:
```
20
Lattice="-8.1819 -3.3895 -2.3024 5.8677 -1.2341 -6.9123 3.1055 -4.3193 7.4453" Properties=species:S:1:pos:R:3 pbc="T T T"
Tl 0.3957 -4.4715 -0.8847
Tl 1.5528 -2.1597 3.7226
Tl -4.0909 -1.6947 -1.1512
Tl 2.9339 -0.6171 -3.4561
Cd -2.5382 -3.8544 2.5714
Cd -1.1571 -2.3118 -4.6074
Cd 4.4866 -2.7767 0.2665
In 0.0000 0.0000 0.0000
Cl 3.2175 -4.7039 1.5522
Cl -3.8096 -5.7852 3.8595
Cl -1.2667 -1.9236 1.2833
Cl -2.4262 -4.2390 -3.3216
Cl -1.7367 -3.4699 -6.9153
Cl -0.5775 -1.1538 -2.2994
Cl -3.1167 -5.0103 0.2677
Cl 3.9081 -3.9326 -2.0372
Cl -0.2949 -5.2428 2.7047
Cl 6.7341 -4.1677 0.4000
Cl 1.0862 -3.7002 -4.4741
Cl 2.2391 -1.3858 0.1330
```

***

Record 13
The following is a DFT calculation (PBE) of crystalline Tl2CdIn2Cl6 at its relaxed geometry.

Output
The density of states at the Fermi level is 0.000 states/eV per atom. Its crystal system is monoclinic. The energy is -2.98 eV per atom.

Geometry as extended XYZ:
```
11
Lattice="-3.3843 -5.6452 -3.6371 2.5411 -1.8568 6.8298 -6.0952 3.9096 2.0355" Properties=species:S:1:pos:R:3 pbc="T T T"
Tl -2.5555 -1.2120 4.2281
Tl -4.3829 -2.3804 1.0001
Cd -3.0476 1.9548 1.0178
In -2.3343 -4.9739 -1.7823
In 1.4911 -2.5281 4.9750
Cl -5.2989 -3.1976 4.1571
Cl -3.5598 1.8104 3.6340
Cl -1.6395 -0.3948 1.0711
Cl -5.3336 0.6763 0.5006
Cl -3.3786 -5.4029 1.5942
Cl -1.6047 -4.2687 4.7276
```

***

Record 14
The following is a DFT calculation (PBE) of crystalline TlCd2InCl6 at its relaxed geometry.

Output
The density of states at the Fermi level is 0.000 states/eV per atom. Its crystal system is monoclinic. The energy is -2.81 eV per atom.

Geometry as extended XYZ:
```
20
Lattice="-3.9938 4.7923 4.3826 0.6145 -4.7158 8.4550 7.3170 5.0364 3.8988" Properties=species:S:1:pos:R:3 pbc="T T T"
Tl 4.2376 3.2066 6.4091
Tl -0.2999 1.9063 10.3274
Cd 3.9993 0.5149 10.3784
Cd 0.6465 0.3265 5.0429
Cd -0.0616 4.5980 6.3581
Cd 3.2912 4.7864 11.6936
In 0.2594 -2.5817 9.1134
In 3.6783 7.6946 7.6231
Cl 5.6982 -0.0236 12.0771
Cl -1.1862 0.6704 3.4352
Cl -1.7605 5.1365 4.6594
Cl 5.1239 4.4425 13.3013
Cl 1.7803 -0.4859 10.7566
Cl 0.6681 -1.8698 6.1584
Cl 2.1574 5.5989 5.9799
Cl 3.2696 6.9827 10.5781
Cl 0.8608 4.4940 12.4657
Cl 0.4797 2.1417 6.8701
Cl 3.0769 0.6189 4.2708
Cl 3.4580 2.9712 9.8664
```

***

Record 15
The following is a DFT calculation (PBE) of crystalline TlCd2InCl8 at its relaxed geometry.

Output
The density of states at the Fermi level is 0.000 states/eV per atom. Its crystal system is triclinic. The energy is -2.84 eV per atom.

Geometry as extended XYZ:
```
12
Lattice="6.3747 0.5968 0.5669 0.6228 6.3727 0.5620 0.7429 0.7622 8.9733" Properties=species:S:1:pos:R:3 pbc="T T T"
Tl 0.3714 0.3811 4.4866
Cd 3.5972 3.5933 7.0287
Cd 4.1431 4.1384 3.0735
In 0.0000 0.0000 0.0000
Cl 1.7574 5.0002 2.4362
Cl 5.2046 5.2008 0.9646
Cl 5.0161 1.7559 2.4363
Cl 5.9830 2.7316 7.6660
Cl 2.5358 2.5310 9.1376
Cl 2.7242 5.9758 7.6660
Cl 5.0704 5.0788 5.2095
Cl 2.6700 2.6530 4.8927
```

***

Record 16
The following is a DFT calculation (PBE) of crystalline TlCd3In4Cl12 at its relaxed geometry.

Output
The density of states at the Fermi level is 0.211 states/eV per atom. Its crystal system is cubic. The energy is -2.77 eV per atom.

Geometry as extended XYZ:
```
20
Lattice="-1.4696 8.9488 -1.5824 -5.9784 -5.0041 -4.8952 -1.1420 -1.7592 8.9636" Properties=species:S:1:pos:R:3 pbc="T T T"
Tl 0.0000 0.0000 0.0000
Cd -1.3058 3.5948 3.6906
Cd -3.7240 1.9724 -3.2388
Cd -3.5602 -3.3816 2.0342
In -4.2950 1.0928 1.2430
In -0.5710 -0.8796 4.4818
In -0.7348 4.4744 -0.7912
In -2.9892 -2.5020 -2.4476
Cl -4.2131 -1.5842 3.8795
Cl -1.9373 5.3333 5.4754
Cl -0.6743 1.8564 1.9058
Cl -4.3769 3.7698 -1.3935
Cl -5.5249 2.9262 -4.8051
Cl -1.9231 1.0185 -1.6725
Cl -3.1678 4.5810 2.0712
Cl -5.4222 -2.3954 0.4148
Cl -3.0859 1.9040 4.7077
Cl -5.2819 -5.0170 3.0179
Cl -5.5041 0.2816 -2.2217
Cl -1.8385 -1.7463 1.0505
```

***

Record 17
The following is a DFT calculation (PBE) of crystalline TmCdInCl6 at its relaxed geometry.

Output
The density of states at the Fermi level is 0.000 states/eV per atom. Its crystal system is trigonal. The energy is -3.71 eV per atom.

Geometry as extended XYZ:
```
18
Lattice="-5.8188 0.1237 -3.7044 6.0040 -1.4859 -3.0563 -1.9888 -13.5328 2.6723" Properties=species:S:1:pos:R:3 pbc="T T T"
Tm 1.5658 -4.3326 -2.6042
Tm -3.3695 -10.5624 -1.4841
Cd -2.3751 -3.7960 -2.8203
Cd 0.5714 -11.0990 -1.2681
In 0.0000 0.0000 0.0000
In -0.9944 -6.7664 1.3361
Cl -0.1333 -2.7821 -3.8650
Cl 1.9348 -2.4781 -0.7862
Cl -3.4237 -8.6504 0.3107
Cl -3.7385 -12.4169 -3.3022
Cl -0.6102 -5.3554 -1.5559
Cl 3.0435 -5.7811 -0.9921
Cl -5.3440 -11.5410 -0.0613
Cl 1.6200 -6.2446 -4.3991
Cl -4.8472 -9.1140 -3.0963
Cl 3.5403 -3.3540 -4.0271
Cl -1.1935 -9.5396 -2.5325
Cl -1.6704 -12.1129 -0.2234
```

***

Record 18
The following is a DFT calculation (PBE) of crystalline UCdIn2Cl8 at its relaxed geometry.

Output
The density of states at the Fermi level is 0.520 states/eV per atom. Its crystal system is monoclinic. The energy is -3.95 eV per atom.

Geometry as extended XYZ:
```
12
Lattice="7.0566 -0.1721 -0.0041 -0.2169 6.7150 -0.0073 0.0037 0.0111 8.5848" Properties=species:S:1:pos:R:3 pbc="T T T"
U 0.0018 0.0055 4.2924
Cd 0.0000 0.0000 0.0000
In 3.4228 3.2799 6.5418
In 3.4206 3.2740 2.0315
Cl 0.7874 5.2273 2.3425
Cl 4.8327 5.1812 8.5759
Cl 6.0540 1.3216 2.3426
Cl 6.0560 1.3267 6.2308
Cl 2.0107 1.3728 -0.0026
Cl 0.7894 5.2324 6.2307
Cl 4.6622 5.0753 4.2839
Cl 2.1811 1.4787 4.2894
```

***

Record 19
The following is a DFT calculation (PBE) of crystalline YCdInCl6 at its relaxed geometry.

Output
The density of states at the Fermi level is 0.000 states/eV per atom. Its crystal system is trigonal. The energy is -3.93 eV per atom.

Geometry as extended XYZ:
```
18
Lattice="-6.4950 1.5958 1.9051 1.8927 -6.6589 -0.6620 3.8585 -0.2302 13.3478" Properties=species:S:1:pos:R:3 pbc="T T T"
Y -2.7345 -1.2133 4.3863
Y 1.9907 -4.0799 10.2045
Cd 0.0614 -3.9648 3.5307
Cd -0.8052 -1.3284 11.0602
In 0.0000 0.0000 0.0000
In 1.9293 -0.1151 6.6739
Cl -2.3532 -3.2105 2.6623
Cl -5.2431 -0.9087 3.5374
Cl 1.9537 -6.2079 8.5991
Cl 4.4993 -4.3845 11.0535
Cl -0.3279 -1.9596 5.2572
Cl -3.9142 -2.6702 6.2817
Cl 1.1270 -5.8480 12.0031
Cl -2.6975 0.9147 5.9918
Cl 3.1704 -2.6230 8.3092
Cl -1.8708 0.5548 2.5877
Cl -0.4158 -3.3336 9.3337
Cl 1.6094 -2.0827 11.9286
```

***

Record 20
The following is a DFT calculation (PBE) of crystalline CdIr2Cl at its relaxed geometry.

Output
The density of states at the Fermi level is 1.233 states/eV per atom. Its crystal system is tetragonal. The energy is -4.31 eV per atom.

Geometry as extended XYZ:
```
8
Lattice="-1.1990 4.4315 -0.9220 -4.1223 -1.4630 -1.6708 -5.7359 2.1157 5.7381" Properties=species:S:1:pos:R:3 pbc="T T T"
Cl -2.6607 1.4842 -1.2964
Cl -6.2595 1.0685 1.3855
Ir -2.5319 2.4994 0.7777
Ir -4.3271 0.7848 0.1468
Ir -6.8708 2.4965 3.0989
Ir -8.3848 4.3877 2.2673
Cd 0.0000 0.0000 0.0000
Cd -4.7978 4.0157 1.7599
```